[1]
# Cs2MnSiBr | the Alexandria database | SCAN | PBEsol geometry
data_Cs2MnSiBr
_cell_length_a 6.8248
_cell_length_b 6.8248
_cell_length_c 4.7400
_cell_angle_alpha 90.00
_cell_angle_beta 90.00
_cell_angle_gamma 90.00
_symmetry_space_group_name_H-M 'P 4/m m m'
_symmetry_Int_Tables_number 123
_symmetry_space_group_name_Hall '-P 4 2'
loop_
_atom_site_label
_atom_site_type_symbol
_atom_site_fract_x
_atom_site_fract_y
_atom_site_fract_z
_atom_site_occupancy
Cs1 Cs 0.0000 0.5000 0.0000 1
Mn1 Mn 0.0000 0.0000 0.0000 1
Si1 Si 0.5000 0.5000 0.5000 1
Br1 Br 0.0000 0.0000 0.5000 1
# Fermi-level density of states, states/eV/f.u.: 3.4


[2]
# Cs2MoBr

A crystal of Cs2MoBr relaxed with PBEsol (SCAN, the Alexandria database).

Cell and atoms, written as CIF:
```
data_Cs2MoBr
_cell_length_a 8.8724
_cell_length_b 8.8724
_cell_length_c 8.8724
_cell_angle_alpha 90.00
_cell_angle_beta 90.00
_cell_angle_gamma 90.00
_symmetry_space_group_name_H-M 'F m -3 m'
_symmetry_Int_Tables_number 225
_symmetry_space_group_name_Hall '-F 4 2 3'
loop_
_atom_site_label
_atom_site_type_symbol
_atom_site_fract_x
_atom_site_fract_y
_atom_site_fract_z
_atom_site_occupancy
Cs1 Cs 0.2500 0.2500 0.2500 1
Mo1 Mo 0.0000 0.0000 0.0000 1
Br1 Br 0.0000 0.0000 0.5000 1
```


[3]
# Cs3Mo2BrO7 | the Alexandria database | SCAN | PBEsol geometry
data_Cs3Mo2BrO7
_cell_length_a 6.3333
_cell_length_b 6.3333
_cell_length_c 16.5372
_cell_angle_alpha 90.00
_cell_angle_beta 90.00
_cell_angle_gamma 120.00
_symmetry_space_group_name_H-M 'P 63/m m c'
_symmetry_Int_Tables_number 194
_symmetry_space_group_name_Hall '-P 6c 2c'
loop_
_atom_site_label
_atom_site_type_symbol
_atom_site_fract_x
_atom_site_fract_y
_atom_site_fract_z
_atom_site_occupancy
Cs1 Cs 0.3333 0.6667 0.0430 1
Cs2 Cs 0.3333 0.6667 0.7500 1
Mo1 Mo 0.0000 0.0000 0.1362 1
Br1 Br 0.3333 0.6667 0.2500 1
O1 O 0.0000 0.0000 0.2500 1
O2 O 0.1480 0.2961 0.5990 1
# Fermi-level density of states, states/eV/f.u.: 0.0


[4]
# Cs2BrN2 | the Alexandria database | SCAN | PBEsol geometry
data_Cs2BrN2
_cell_length_a 8.4617
_cell_length_b 8.4617
_cell_length_c 4.0004
_cell_angle_alpha 90.00
_cell_angle_beta 90.00
_cell_angle_gamma 90.00
_symmetry_space_group_name_H-M 'P 4/m b m'
_symmetry_Int_Tables_number 127
_symmetry_space_group_name_Hall '-P 4 2ab'
loop_
_atom_site_label
_atom_site_type_symbol
_atom_site_fract_x
_atom_site_fract_y
_atom_site_fract_z
_atom_site_occupancy
Cs1 Cs 0.2244 0.2756 0.0000 1
Br1 Br 0.0000 0.0000 0.5000 1
N1 N 0.0493 0.5493 0.5000 1
# Fermi-level density of states, states/eV/f.u.: 2.7
# ΔE to the lowest computed polymorph, eV per atom: 0.000


[5]
# Cs2BrN2 | the Alexandria database | SCAN | PBEsol geometry
data_Cs2BrN2
_cell_length_a 5.7619
_cell_length_b 5.7619
_cell_length_c 8.8546
_cell_angle_alpha 90.00
_cell_angle_beta 90.00
_cell_angle_gamma 90.00
_symmetry_space_group_name_H-M 'I 4/m m m'
_symmetry_Int_Tables_number 139
_symmetry_space_group_name_Hall '-I 4 2'
loop_
_atom_site_label
_atom_site_type_symbol
_atom_site_fract_x
_atom_site_fract_y
_atom_site_fract_z
_atom_site_occupancy
Cs1 Cs 0.0000 0.5000 0.2500 1
Br1 Br 0.0000 0.0000 0.0000 1
N1 N 0.0000 0.0000 0.4332 1
# Fermi-level density of states, states/eV/f.u.: 5.2
# ΔE to the lowest computed polymorph, eV per atom: 0.023


[6]
# CsS2BrN | the Alexandria database | SCAN | PBEsol geometry
data_CsS2BrN
_cell_length_a 5.0836
_cell_length_b 5.0836
_cell_length_c 4.6797
_cell_angle_alpha 90.00
_cell_angle_beta 90.00
_cell_angle_gamma 90.00
_symmetry_space_group_name_H-M 'P 4/m m m'
_symmetry_Int_Tables_number 123
_symmetry_space_group_name_Hall '-P 4 2'
loop_
_atom_site_label
_atom_site_type_symbol
_atom_site_fract_x
_atom_site_fract_y
_atom_site_fract_z
_atom_site_occupancy
Cs1 Cs 0.0000 0.0000 0.0000 1
S1 S 0.0000 0.5000 0.5000 1
Br1 Br 0.5000 0.5000 0.5000 1
N1 N 0.5000 0.5000 0.0000 1
# Fermi-level density of states, states/eV/f.u.: 2.2


[7]
# CsSr2BrN | the Alexandria database | SCAN | PBEsol geometry
data_CsSr2BrN
_cell_length_a 5.8271
_cell_length_b 5.8271
_cell_length_c 6.6033
_cell_angle_alpha 90.00
_cell_angle_beta 90.00
_cell_angle_gamma 90.00
_symmetry_space_group_name_H-M 'P 4/m m m'
_symmetry_Int_Tables_number 123
_symmetry_space_group_name_Hall '-P 4 2'
loop_
_atom_site_label
_atom_site_type_symbol
_atom_site_fract_x
_atom_site_fract_y
_atom_site_fract_z
_atom_site_occupancy
Cs1 Cs 0.0000 0.0000 0.0000 1
Sr1 Sr 0.0000 0.5000 0.5000 1
Br1 Br 0.0000 0.0000 0.5000 1
N1 N 0.5000 0.5000 0.0000 1
# Fermi-level density of states, states/eV/f.u.: 4.0


[8]
# CsNaBr2 | the Alexandria database | SCAN | PBEsol geometry
data_CsNaBr2
_cell_length_a 8.3328
_cell_length_b 8.3328
_cell_length_c 8.7241
_cell_angle_alpha 90.00
_cell_angle_beta 90.00
_cell_angle_gamma 90.00
_symmetry_space_group_name_H-M 'I -4 2 d'
_symmetry_Int_Tables_number 122
_symmetry_space_group_name_Hall 'I -4 2bw'
loop_
_atom_site_label
_atom_site_type_symbol
_atom_site_fract_x
_atom_site_fract_y
_atom_site_fract_z
_atom_site_occupancy
Cs1 Cs 0.0000 0.0000 0.0000 1
Na1 Na 0.0000 0.0000 0.5000 1
Br1 Br 0.1851 0.2500 0.6250 1
# Fermi-level density of states, states/eV/f.u.: 0.0


[9]
# Cs2NaNdBr6 | the Alexandria database | SCAN | PBEsol geometry
data_Cs2NaNdBr6
_cell_length_a 11.3865
_cell_length_b 11.3865
_cell_length_c 11.3865
_cell_angle_alpha 90.00
_cell_angle_beta 90.00
_cell_angle_gamma 90.00
_symmetry_space_group_name_H-M 'F m -3 m'
_symmetry_Int_Tables_number 225
_symmetry_space_group_name_Hall '-F 4 2 3'
loop_
_atom_site_label
_atom_site_type_symbol
_atom_site_fract_x
_atom_site_fract_y
_atom_site_fract_z
_atom_site_occupancy
Cs1 Cs 0.2500 0.2500 0.2500 1
Na1 Na 0.0000 0.0000 0.0000 1
Nd1 Nd 0.0000 0.0000 0.5000 1
Br1 Br 0.0000 0.0000 0.2505 1
# Fermi-level density of states, states/eV/f.u.: 0.0


[10]
# CsNaSeBr2 | the Alexandria database | SCAN | PBEsol geometry
data_CsNaSeBr2
_cell_length_a 5.6183
_cell_length_b 5.6183
_cell_length_c 5.4196
_cell_angle_alpha 90.00
_cell_angle_beta 90.00
_cell_angle_gamma 90.00
_symmetry_space_group_name_H-M 'P 4/m m m'
_symmetry_Int_Tables_number 123
_symmetry_space_group_name_Hall '-P 4 2'
loop_
_atom_site_label
_atom_site_type_symbol
_atom_site_fract_x
_atom_site_fract_y
_atom_site_fract_z
_atom_site_occupancy
Cs1 Cs 0.0000 0.0000 0.0000 1
Na1 Na 0.5000 0.5000 0.5000 1
Se1 Se 0.5000 0.5000 0.0000 1
Br1 Br 0.0000 0.5000 0.5000 1
# Fermi-level density of states, states/eV/f.u.: 2.3


[11]
# Cs2NaTlBr6

A crystal of Cs2NaTlBr6 relaxed with PBEsol (SCAN, the Alexandria database).

Cell and atoms, written as CIF:
```
data_Cs2NaTlBr6
_cell_length_a 11.1721
_cell_length_b 11.1721
_cell_length_c 11.1721
_cell_angle_alpha 90.00
_cell_angle_beta 90.00
_cell_angle_gamma 90.00
_symmetry_space_group_name_H-M 'F m -3 m'
_symmetry_Int_Tables_number 225
_symmetry_space_group_name_Hall '-F 4 2 3'
loop_
_atom_site_label
_atom_site_type_symbol
_atom_site_fract_x
_atom_site_fract_y
_atom_site_fract_z
_atom_site_occupancy
Cs1 Cs 0.2500 0.2500 0.2500 1
Na1 Na 0.0000 0.0000 0.0000 1
Tl1 Tl 0.0000 0.0000 0.5000 1
Br1 Br 0.0000 0.0000 0.2553 1
```


[12]
# Cs2NbBr | the Alexandria database | SCAN | PBEsol geometry
data_Cs2NbBr
_cell_length_a 8.6472
_cell_length_b 8.6472
_cell_length_c 8.6472
_cell_angle_alpha 90.00
_cell_angle_beta 90.00
_cell_angle_gamma 90.00
_symmetry_space_group_name_H-M 'F m -3 m'
_symmetry_Int_Tables_number 225
_symmetry_space_group_name_Hall '-F 4 2 3'
loop_
_atom_site_label
_atom_site_type_symbol
_atom_site_fract_x
_atom_site_fract_y
_atom_site_fract_z
_atom_site_occupancy
Cs1 Cs 0.2500 0.2500 0.2500 1
Nb1 Nb 0.0000 0.0000 0.0000 1
Br1 Br 0.0000 0.0000 0.5000 1
# Fermi-level density of states, states/eV/f.u.: 2.3


[13]
# Cs5Nb2S4Br9 | the Alexandria database | SCAN | PBEsol geometry
data_Cs5Nb2S4Br9
_cell_length_a 7.4468
_cell_length_b 10.9027
_cell_length_c 16.5654
_cell_angle_alpha 90.00
_cell_angle_beta 90.00
_cell_angle_gamma 90.00
_symmetry_space_group_name_H-M 'I m m m'
_symmetry_Int_Tables_number 71
_symmetry_space_group_name_Hall '-I 2 2'
loop_
_atom_site_label
_atom_site_type_symbol
_atom_site_fract_x
_atom_site_fract_y
_atom_site_fract_z
_atom_site_occupancy
Cs1 Cs 0.0000 0.0000 0.0000 1
Cs2 Cs 0.0000 0.2765 0.3391 1
Nb1 Nb 0.0000 0.5000 0.0876 1
S1 S 0.2368 0.4078 0.0000 1
Br1 Br 0.0000 0.2533 0.1277 1
Br2 Br 0.0000 0.5000 0.5000 1
Br3 Br 0.2443 0.5000 0.2063 1
# Fermi-level density of states, states/eV/f.u.: 0.0


[14]
# Cs2NiBr | the Alexandria database | SCAN | PBEsol geometry
data_Cs2NiBr
_cell_length_a 8.4810
_cell_length_b 8.4810
_cell_length_c 8.4810
_cell_angle_alpha 90.00
_cell_angle_beta 90.00
_cell_angle_gamma 90.00
_symmetry_space_group_name_H-M 'F m -3 m'
_symmetry_Int_Tables_number 225
_symmetry_space_group_name_Hall '-F 4 2 3'
loop_
_atom_site_label
_atom_site_type_symbol
_atom_site_fract_x
_atom_site_fract_y
_atom_site_fract_z
_atom_site_occupancy
Cs1 Cs 0.2500 0.2500 0.2500 1
Ni1 Ni 0.0000 0.0000 0.0000 1
Br1 Br 0.0000 0.0000 0.5000 1
# Fermi-level density of states, states/eV/f.u.: 6.5


[15]
# CsNiBr3 | the Alexandria database | SCAN | PBEsol geometry
data_CsNiBr3
_cell_length_a 7.3976
_cell_length_b 7.3976
_cell_length_c 6.1454
_cell_angle_alpha 90.00
_cell_angle_beta 90.00
_cell_angle_gamma 120.00
_symmetry_space_group_name_H-M 'P 63/m m c'
_symmetry_Int_Tables_number 194
_symmetry_space_group_name_Hall '-P 6c 2c'
loop_
_atom_site_label
_atom_site_type_symbol
_atom_site_fract_x
_atom_site_fract_y
_atom_site_fract_z
_atom_site_occupancy
Cs1 Cs 0.3333 0.6667 0.2500 1
Ni1 Ni 0.0000 0.0000 0.0000 1
Br1 Br 0.1553 0.3106 0.7500 1
# Fermi-level density of states, states/eV/f.u.: 0.0


[16]
# Cs2NpBr6 | the Alexandria database | SCAN | PBEsol geometry
data_Cs2NpBr6
_cell_length_a 10.9597
_cell_length_b 10.9597
_cell_length_c 10.9597
_cell_angle_alpha 90.00
_cell_angle_beta 90.00
_cell_angle_gamma 90.00
_symmetry_space_group_name_H-M 'F m -3 m'
_symmetry_Int_Tables_number 225
_symmetry_space_group_name_Hall '-F 4 2 3'
loop_
_atom_site_label
_atom_site_type_symbol
_atom_site_fract_x
_atom_site_fract_y
_atom_site_fract_z
_atom_site_occupancy
Cs1 Cs 0.2500 0.2500 0.2500 1
Np1 Np 0.0000 0.0000 0.0000 1
Br1 Br 0.0000 0.0000 0.2495 1
# Fermi-level density of states, states/eV/f.u.: 0.0


[17]
# Cs6Br4O | the Alexandria database | SCAN | PBEsol geometry
data_Cs6Br4O
_cell_length_a 13.5526
_cell_length_b 13.5526
_cell_length_c 17.2443
_cell_angle_alpha 90.00
_cell_angle_beta 90.00
_cell_angle_gamma 120.00
_symmetry_space_group_name_H-M 'R -3 c'
_symmetry_Int_Tables_number 167
_symmetry_space_group_name_Hall '-R 3 2"c'
loop_
_atom_site_label
_atom_site_type_symbol
_atom_site_fract_x
_atom_site_fract_y
_atom_site_fract_z
_atom_site_occupancy
Cs1 Cs 0.0293 0.1840 0.4040 1
Br1 Br 0.0000 0.0000 0.2500 1
Br2 Br 0.0000 0.3794 0.2500 1
O1 O 0.0000 0.0000 0.0000 1
# Fermi-level density of states, states/eV/f.u.: 0.0


[18]
# CsPBr2 | the Alexandria database | SCAN | PBEsol geometry
data_CsPBr2
_cell_length_a 4.5457
_cell_length_b 4.5457
_cell_length_c 26.5097
_cell_angle_alpha 90.00
_cell_angle_beta 90.00
_cell_angle_gamma 120.00
_symmetry_space_group_name_H-M 'R -3 m'
_symmetry_Int_Tables_number 166
_symmetry_space_group_name_Hall '-R 3 2"'
loop_
_atom_site_label
_atom_site_type_symbol
_atom_site_fract_x
_atom_site_fract_y
_atom_site_fract_z
_atom_site_occupancy
Cs1 Cs 0.0000 0.0000 0.0000 1
P1 P 0.0000 0.0000 0.5000 1
Br1 Br 0.0000 0.0000 0.1253 1
# Fermi-level density of states, states/eV/f.u.: 2.1


[19]
# Cs2PbBr

A crystal of Cs2PbBr relaxed with PBEsol (SCAN, the Alexandria database).

Cell and atoms, written as CIF:
```
data_Cs2PbBr
_cell_length_a 9.0433
_cell_length_b 9.0433
_cell_length_c 9.0433
_cell_angle_alpha 90.00
_cell_angle_beta 90.00
_cell_angle_gamma 90.00
_symmetry_space_group_name_H-M 'F m -3 m'
_symmetry_Int_Tables_number 225
_symmetry_space_group_name_Hall '-F 4 2 3'
loop_
_atom_site_label
_atom_site_type_symbol
_atom_site_fract_x
_atom_site_fract_y
_atom_site_fract_z
_atom_site_occupancy
Cs1 Cs 0.2500 0.2500 0.2500 1
Pb1 Pb 0.0000 0.0000 0.0000 1
Br1 Br 0.0000 0.0000 0.5000 1
```


[20]
# Cs2PbBr6 | the Alexandria database | SCAN | PBEsol geometry
data_Cs2PbBr6
_cell_length_a 10.8449
_cell_length_b 10.8449
_cell_length_c 10.8449
_cell_angle_alpha 90.00
_cell_angle_beta 90.00
_cell_angle_gamma 90.00
_symmetry_space_group_name_H-M 'F m -3 m'
_symmetry_Int_Tables_number 225
_symmetry_space_group_name_Hall '-F 4 2 3'
loop_
_atom_site_label
_atom_site_type_symbol
_atom_site_fract_x
_atom_site_fract_y
_atom_site_fract_z
_atom_site_occupancy
Cs1 Cs 0.2500 0.2500 0.2500 1
Pb1 Pb 0.0000 0.0000 0.0000 1
Br1 Br 0.0000 0.0000 0.2503 1
# Fermi-level density of states, states/eV/f.u.: 0.2


[21]
# Cs2PdBr6

A crystal of Cs2PdBr6 relaxed with PBEsol (SCAN, the Alexandria database).

Cell and atoms, written as CIF:
```
data_Cs2PdBr6
_cell_length_a 10.5539
_cell_length_b 10.5539
_cell_length_c 10.5539
_cell_angle_alpha 90.00
_cell_angle_beta 90.00
_cell_angle_gamma 90.00
_symmetry_space_group_name_H-M 'F m -3 m'
_symmetry_Int_Tables_number 225
_symmetry_space_group_name_Hall '-F 4 2 3'
loop_
_atom_site_label
_atom_site_type_symbol
_atom_site_fract_x
_atom_site_fract_y
_atom_site_fract_z
_atom_site_occupancy
Cs1 Cs 0.2500 0.2500 0.2500 1
Pd1 Pd 0.0000 0.0000 0.0000 1
Br1 Br 0.0000 0.0000 0.2345 1
```


[22]
# Cs2PdBr | the Alexandria database | SCAN | PBEsol geometry
data_Cs2PdBr
_cell_length_a 8.2590
_cell_length_b 8.2590
_cell_length_c 8.2590
_cell_angle_alpha 90.00
_cell_angle_beta 90.00
_cell_angle_gamma 90.00
_symmetry_space_group_name_H-M 'F m -3 m'
_symmetry_Int_Tables_number 225
_symmetry_space_group_name_Hall '-F 4 2 3'
loop_
_atom_site_label
_atom_site_type_symbol
_atom_site_fract_x
_atom_site_fract_y
_atom_site_fract_z
_atom_site_occupancy
Cs1 Cs 0.2500 0.2500 0.2500 1
Pd1 Pd 0.0000 0.0000 0.0000 1
Br1 Br 0.0000 0.0000 0.5000 1
# Fermi-level density of states, states/eV/f.u.: 1.5


[23]
# Cs2RbSbBr6 | the Alexandria database | SCAN | PBEsol geometry
data_Cs2RbSbBr6
_cell_length_a 11.8965
_cell_length_b 11.8965
_cell_length_c 11.8965
_cell_angle_alpha 90.00
_cell_angle_beta 90.00
_cell_angle_gamma 90.00
_symmetry_space_group_name_H-M 'F m -3 m'
_symmetry_Int_Tables_number 225
_symmetry_space_group_name_Hall '-F 4 2 3'
loop_
_atom_site_label
_atom_site_type_symbol
_atom_site_fract_x
_atom_site_fract_y
_atom_site_fract_z
_atom_site_occupancy
Cs1 Cs 0.2500 0.2500 0.2500 1
Rb1 Rb 0.0000 0.0000 0.0000 1
Sb1 Sb 0.0000 0.0000 0.5000 1
Br1 Br 0.0000 0.0000 0.2668 1
# Fermi-level density of states, states/eV/f.u.: 0.0


[24]
# CsRb2ScBr6 | the Alexandria database | SCAN | PBEsol geometry
data_CsRb2ScBr6
_cell_length_a 11.8387
_cell_length_b 11.8387
_cell_length_c 11.8387
_cell_angle_alpha 90.00
_cell_angle_beta 90.00
_cell_angle_gamma 90.00
_symmetry_space_group_name_H-M 'F m -3 m'
_symmetry_Int_Tables_number 225
_symmetry_space_group_name_Hall '-F 4 2 3'
loop_
_atom_site_label
_atom_site_type_symbol
_atom_site_fract_x
_atom_site_fract_y
_atom_site_fract_z
_atom_site_occupancy
Cs1 Cs 0.0000 0.0000 0.0000 1
Rb1 Rb 0.2500 0.2500 0.2500 1
Sc1 Sc 0.0000 0.0000 0.5000 1
Br1 Br 0.0000 0.0000 0.2787 1
# Fermi-level density of states, states/eV/f.u.: 0.0


no.,formation energy (no corrections) (meV per atom)
1,347
2,266
3,-2235
4,-897
5,-874
6,912
7,433
8,-1799
9,-2048
10,-988
11,-1397
12,218
13,-1490
14,-385
15,-1273
16,-1796
17,-1778
18,62
19,-766
20,-1231
21,-1149
22,-628
23,-1448
24,-1888